DFT (PBE with a Hubbard U) results for a geometry-optimized HoTlVO4 structure.

Cell: 6.024 5.911 7.563 Å, 90.00 104.85 90.00°
Space group P2_1/m (No. 11)
Unique sites:
Ho  0.175  0.250  0.053 x2
Tl  0.279  0.250  0.587 x2
V  0.303  0.750  0.858 x2
O  0.075  0.525  0.845 x4
O  0.489  0.750  0.077 x2
O  0.490  0.750  0.708 x2

Values from the calculation:
Total energy in eV per atom: -7.083
M_tot in μB/cell: 2.00